VASP calculation (GGA-PBE) on a relaxed structure of K4Ac3MgO8.

The structure belongs to space group C2/m (No. 12); the cell edges are 13.244, 7.291 and 7.600 Å and the angles 90.00°, 123.08° and 90.00°. The asymmetric unit holds K at (0.000, 0.000, 0.000), K at (0.000, 0.500, 0.000), K at (0.250, 0.250, 0.000), Ac at (0.000, 0.000, 0.500), Ac at (0.250, 0.250, 0.500), Mg at (0.000, 0.500, 0.500), O at (0.019, 0.276, 0.323), O at (0.229, 0.000, 0.701) and O at (0.242, 0.000, 0.274).

The calculation puts the formation energy (no corrections) at -218.31 kJ/mol of atoms. The calculation puts the density of states at the Fermi level at 19.86 states/eV per cell. The volume is 19.21 A^3/atom. The total magnetization is 2.1 Bohr magnetons per cell. For the final energy, the calculation gives -5.8861 eV per atom.